Entry from Alexandria: a relaxed Sm4Dy2Th3 crystal (GGA-PBE).

Cell: 8.011 8.011 10.779 Å, 103.41 103.41 26.03°
Atoms (fractional coordinates):
Sm 0.003 0.003 0.337
Sm 0.338 0.338 0.114
Sm 0.662 0.662 0.886
Sm 0.997 0.997 0.663
Dy 0.335 0.335 0.779
Dy 0.665 0.665 0.221
Th 0.000 0.000 0.000
Th 0.328 0.328 0.442
Th 0.672 0.672 0.558

**DFT total energy**: -5.55 eV/atom
**Density**: 9.14 g cm⁻³
**Energy above the most stable polymorph in this dataset**: 0.000 eV per atom
**Formation energy from the elements**: 0.0457 eV/atom
**Total magnetic moment**: 0.0 μB per formula unit
**Density of states at the Fermi level**: 1.506 states/eV per atom



Entry from Alexandria: a relaxed Sr2CaOsC crystal (GGA-PBE).

Cell: 6.148 6.148 3.997 Å, 90.00 90.00 90.00°
Atoms (fractional coordinates):
Sr 0.000 0.500 0.000
Sr 0.500 0.000 0.000
Ca 0.000 0.000 0.500
Os 0.500 0.500 0.000
C 0.500 0.500 0.500

**DFT total energy**: -4.50 eV/atom
**Density**: 4.59 g cm⁻³
**Formation energy from the elements**: 0.6625 eV/atom
**Total magnetic moment**: 0.0 μB per formula unit
**Density of states at the Fermi level**: 1.033 states/eV per atom



Entry from Alexandria: a relaxed La3Pr6SmDy2 crystal (GGA-PBE).

Cell: 6.398 6.398 12.209 Å, 95.03 95.03 120.05°
Atoms (fractional coordinates):
La 0.000 0.000 0.000
La 0.333 0.667 0.000
La 0.667 0.333 0.000
Pr 0.084 0.418 0.255
Pr 0.248 0.248 0.745
Pr 0.418 0.084 0.255
Pr 0.582 0.916 0.745
Pr 0.752 0.752 0.255
Pr 0.916 0.582 0.745
Sm 0.500 0.500 0.500
Dy 0.167 0.833 0.500
Dy 0.833 0.167 0.500

**DFT total energy**: -4.76 eV/atom
**Density**: 6.78 g cm⁻³
**Formation energy from the elements**: 0.0171 eV/atom
**Total magnetic moment**: 0.0 μB per formula unit
**Density of states at the Fermi level**: 1.688 states/eV per atom



Entry from Alexandria: a relaxed BaIrRh2 crystal (GGA-PBE).

Cell: 3.259 3.259 7.548 Å, 90.00 90.00 90.00°
Atoms (fractional coordinates):
Ba 0.000 0.000 0.000
Ir 0.000 0.000 0.500
Rh 0.500 0.500 0.321
Rh 0.500 0.500 0.679

**DFT total energy**: -6.02 eV/atom
**Density**: 11.09 g cm⁻³
**Energy above the most stable polymorph in this dataset**: 0.375 eV per atom
**Formation energy from the elements**: 0.3536 eV/atom
**Total magnetic moment**: 0.6 μB per formula unit
**Density of states at the Fermi level**: 1.696 states/eV per atom



Entry from Alexandria: a relaxed Er6ScPd2 crystal (GGA-PBE).

Cell: 8.020 8.020 10.517 Å, 127.36 127.36 26.17°
Atoms (fractional coordinates):
Er 0.033 0.033 0.191
Er 0.289 0.289 0.892
Er 0.310 0.310 0.447
Er 0.690 0.690 0.553
Er 0.711 0.711 0.108
Er 0.967 0.967 0.809
Sc 0.000 0.000 0.500
Pd 0.409 0.409 0.245
Pd 0.591 0.591 0.755

**DFT total energy**: -5.29 eV/atom
**Density**: 8.97 g cm⁻³
**Formation energy from the elements**: -0.3923 eV/atom
**Total magnetic moment**: 0.0 μB per formula unit
**Density of states at the Fermi level**: 1.132 states/eV per atom



Entry from Alexandria: a relaxed HfSc2Sb crystal (GGA-PBE).

Cell: 4.502 4.502 4.337 Å, 90.00 90.00 90.00°
Atoms (fractional coordinates):
Hf 0.000 0.000 0.000
Sc 0.000 0.500 0.500
Sc 0.500 0.000 0.500
Sb 0.500 0.500 0.000

**DFT total energy**: -7.05 eV/atom
**Density**: 7.37 g cm⁻³
**Total magnetic moment**: 0.0 μB per formula unit
**Density of states at the Fermi level**: 1.538 states/eV per atom



Entry from Alexandria: a relaxed ZnHgS2 crystal (GGA-PBE).

Cell: 10.954 3.885 10.320 Å, 90.00 90.00 90.00°
Atoms (fractional coordinates):
Zn 0.050 0.250 0.211
Zn 0.450 0.750 0.711
Zn 0.550 0.250 0.289
Zn 0.950 0.750 0.789
Hg 0.194 0.250 0.591
Hg 0.306 0.750 0.091
Hg 0.694 0.250 0.909
Hg 0.806 0.750 0.409
S 0.015 0.750 0.325
S 0.169 0.250 0.032
S 0.331 0.750 0.532
S 0.485 0.250 0.825
S 0.515 0.750 0.175
S 0.669 0.250 0.468
S 0.831 0.750 0.968
S 0.985 0.250 0.675

**DFT total energy**: -2.78 eV/atom
**Density**: 4.99 g cm⁻³
**Total magnetic moment**: 0.0 μB per formula unit
**Density of states at the Fermi level**: 0.000 states/eV per atom



Entry from Alexandria: a relaxed Tb2Pm2ErSc crystal (GGA-PBE).

Cell: 6.873 5.589 9.676 Å, 90.00 90.00 90.00°
Atoms (fractional coordinates):
Tb 0.250 0.000 0.164
Tb 0.250 0.500 0.668
Tb 0.750 0.000 0.836
Tb 0.750 0.500 0.332
Pm 0.000 0.500 0.000
Pm 0.250 0.000 0.814
Pm 0.500 0.500 0.000
Pm 0.750 0.000 0.186
Er 0.250 0.500 0.347
Er 0.750 0.500 0.653
Sc 0.000 0.000 0.500
Sc 0.500 0.000 0.500

**DFT total energy**: -4.85 eV/atom
**Density**: 7.33 g cm⁻³
**Formation energy from the elements**: 0.0940 eV/atom
**Total magnetic moment**: 0.0 μB per formula unit
**Density of states at the Fermi level**: 1.577 states/eV per atom



Entry from Alexandria: a relaxed BaHg3Pb crystal (GGA-PBE).

Cell: 7.301 5.746 7.393 Å, 90.00 90.04 90.00°
Atoms (fractional coordinates):
Ba 0.000 0.000 0.000
Ba 0.500 0.500 0.469
Hg 0.202 0.000 0.499
Hg 0.297 0.500 0.972
Hg 0.499 0.000 0.209
Hg 0.702 0.500 0.968
Hg 0.797 0.000 0.498
Hg 0.998 0.500 0.260
Pb 0.001 0.500 0.663
Pb 0.500 0.000 0.806

**DFT total energy**: -1.63 eV/atom
**Density**: 10.13 g cm⁻³
**Energy above the most stable polymorph in this dataset**: 0.000 eV per atom
**Formation energy from the elements**: -0.3248 eV/atom
**Total magnetic moment**: 0.0 μB per formula unit
**Density of states at the Fermi level**: 0.310 states/eV per atom



Entry from Alexandria: a relaxed TaBeIn2 crystal (GGA-PBE).

Cell: 9.247 9.247 9.247 Å, 19.22 19.22 19.22°
Atoms (fractional coordinates):
Ta 0.000 0.000 0.000
Be 0.500 0.500 0.500
In 0.242 0.242 0.242
In 0.758 0.758 0.758

**DFT total energy**: -4.85 eV/atom
**Density**: 9.30 g cm⁻³
**Formation energy from the elements**: 0.4123 eV/atom
**Total magnetic moment**: 0.0 μB per formula unit
**Density of states at the Fermi level**: 0.631 states/eV per atom



Entry from Alexandria: a relaxed LiSm2H6Rh2 crystal (GGA-PBE).

Cell: 6.648 6.648 6.648 Å, 42.53 42.53 42.53°
Atoms (fractional coordinates):
Li 0.000 0.000 0.000
Sm 0.226 0.226 0.226
Sm 0.774 0.774 0.774
H 0.223 0.740 0.740
H 0.260 0.260 0.777
H 0.260 0.777 0.260
H 0.740 0.223 0.740
H 0.740 0.740 0.223
H 0.777 0.260 0.260
Rh 0.379 0.379 0.379
Rh 0.621 0.621 0.621

**DFT total energy**: -4.66 eV/atom
**Density**: 7.10 g cm⁻³
**Total magnetic moment**: 0.0 μB per formula unit
**Density of states at the Fermi level**: 0.321 states/eV per atom



Entry from Alexandria: a relaxed Ta4F crystal (GGA-PBE).

Cell: 4.369 4.369 4.369 Å, 90.00 90.00 90.00°
Atoms (fractional coordinates):
Ta 0.000 0.000 0.000
Ta 0.000 0.500 0.500
Ta 0.500 0.000 0.500
Ta 0.500 0.500 0.000
F 0.500 0.500 0.500

**DFT total energy**: -9.71 eV/atom
**Density**: 14.79 g cm⁻³
**Total magnetic moment**: 0.0 μB per formula unit
**Density of states at the Fermi level**: 1.356 states/eV per atom